Record 1
Entry from Alexandria via LeMat-Bulk: an optimized crystal structure of K2ScFe (GGA-PBEsol).

```
K2ScFe
1.0
4.252 0.000 0.000
0.000 4.252 0.000
0.000 0.000 6.203
K Sc Fe
2 1 1
Direct
0.000 0.500 0.000
0.500 0.000 0.000
0.000 0.000 0.500
0.500 0.500 0.500
```

The relative energy among the computed polymorphs comes out at 0 meV per atom. The formation enthalpy at 0 K is 1.0770 eV/atom. Its density of states at the Fermi level is 1.937 states/eV/atom.

---

Record 2
Entry from Alexandria via LeMat-Bulk: an optimized crystal structure of K3FeSe3 (GGA-PBEsol).

```
K3FeSe3
1.0
7.944 0.000 0.000
0.000 12.780 0.000
-6.364 0.000 8.148
K Fe Se
12 4 12
Direct
0.114 0.134 0.478
0.114 0.366 0.978
0.144 0.068 0.897
0.144 0.432 0.397
0.383 0.694 0.589
0.383 0.806 0.089
0.617 0.194 0.911
0.617 0.306 0.411
0.856 0.568 0.603
0.856 0.932 0.103
0.886 0.634 0.022
0.886 0.866 0.522
0.440 0.054 0.353
0.440 0.446 0.853
0.560 0.554 0.147
0.560 0.946 0.647
0.142 0.165 0.189
0.142 0.335 0.689
0.353 0.618 0.874
0.353 0.882 0.374
0.375 0.546 0.255
0.375 0.954 0.755
0.625 0.046 0.245
0.625 0.454 0.745
0.647 0.118 0.626
0.647 0.382 0.126
0.858 0.665 0.311
0.858 0.835 0.811
```

As for the uncorrected formation energy: -0.84 eV/atom. Its density of states at the Fermi level is 0.338 states/eV/atom.

---

Record 3
Entry from Alexandria via LeMat-Bulk: an optimized crystal structure of K3Fe8Se8 (GGA-PBEsol).

```
K3Fe8Se8
1.0
7.276 0.000 0.000
-1.817 7.719 0.000
-3.637 -1.665 6.975
K Fe Se
3 8 8
Direct
0.000 0.000 0.000
0.264 0.000 0.528
0.736 0.000 0.472
0.061 0.499 0.875
0.189 0.502 0.626
0.312 0.500 0.375
0.438 0.503 0.125
0.562 0.497 0.875
0.688 0.500 0.625
0.811 0.498 0.374
0.939 0.501 0.125
0.017 0.716 0.679
0.231 0.285 0.822
0.267 0.717 0.178
0.480 0.284 0.320
0.520 0.716 0.680
0.733 0.283 0.822
0.769 0.715 0.178
0.983 0.284 0.321
```

As for the uncorrected formation energy: -0.42 eV/atom. Its density of states at the Fermi level is 0.682 states/eV/atom.

---

Record 4
Entry from Alexandria via LeMat-Bulk: an optimized crystal structure of K2FeSe (GGA-PBEsol).

```
K2FeSe
1.0
-2.329 2.329 4.780
2.329 -2.329 4.780
2.329 2.329 -4.780
K Fe Se
2 1 1
Direct
0.250 0.750 0.500
0.750 0.250 0.500
0.000 0.000 0.000
0.500 0.500 0.000
```

As for the uncorrected formation energy: 0.38 eV/atom. Its density of states at the Fermi level is 1.953 states/eV/atom.

---

Record 5
Entry from Alexandria via LeMat-Bulk: an optimized crystal structure of K2FeSe (GGA-PBEsol).

```
K2FeSe
1.0
4.621 0.000 0.000
0.000 4.621 0.000
0.000 0.000 4.784
K Fe Se
2 1 1
Direct
0.000 0.500 0.000
0.500 0.000 0.000
0.000 0.000 0.500
0.500 0.500 0.500
```

As for the uncorrected formation energy: 0.36 eV/atom. Its density of states at the Fermi level is 1.964 states/eV/atom.

---

Record 6
Entry from Alexandria via LeMat-Bulk: an optimized crystal structure of K2FeSe (GGA-PBEsol).

```
K2FeSe
1.0
0.000 3.710 3.710
3.710 0.000 3.710
3.710 3.710 0.000
K Fe Se
2 1 1
Direct
0.000 0.000 0.000
0.250 0.250 0.250
0.750 0.750 0.750
0.500 0.500 0.500
```

As for the uncorrected formation energy: 0.40 eV/atom. Its density of states at the Fermi level is 0.896 states/eV/atom.

---

Record 7
Entry from Alexandria via LeMat-Bulk: an optimized crystal structure of KFe2Si (GGA-PBEsol).

```
KFe2Si
1.0
2.898 0.000 0.000
0.000 3.145 0.000
0.000 0.000 7.534
K Fe Si
1 2 1
Direct
0.000 0.000 0.000
0.500 0.500 0.353
0.500 0.500 0.647
0.000 0.000 0.500
```

As for the uncorrected formation energy: 0.46 eV/atom. Its density of states at the Fermi level is 0.899 states/eV/atom.

---

Record 8
Entry from Alexandria via LeMat-Bulk: an optimized crystal structure of K2FeSi (GGA-PBEsol).

```
K2FeSi
1.0
2.852 0.000 0.000
0.000 2.852 0.000
0.000 0.000 11.055
K Fe Si
2 1 1
Direct
0.000 0.000 0.242
0.000 0.000 0.758
0.500 0.500 0.500
0.500 0.500 0.000
```

As for the uncorrected formation energy: 1.00 eV/atom. Its density of states at the Fermi level is 1.274 states/eV/atom.